1.
A geometry-optimized LiCa14Mg structure. Source: the Alexandria database, functional PBE-GGA.

Results
The value obtained for the total DFT energy (no corrections) is -1.954 eV/atom. The formation energy is 0.02 eV per atom. As for the spin magnetization: 0.00 μB per atom. For the density of states at the Fermi level, the calculation gives 17.866 states/eV per cell.

Lattice parameters (Å, degrees): 7.719 7.719 10.590 90.00 90.00 90.02
Fractional positions:
1 Ca 0.127 0.873 0.236
2 Ca 0.376 0.126 0.000
3 Ca 0.623 0.377 0.237
4 Ca 0.874 0.624 0.000
5 Ca 0.127 0.873 0.764
6 Ca 0.623 0.874 0.237
7 Ca 0.126 0.377 0.763
8 Ca 0.623 0.874 0.763
9 Ca 0.375 0.125 0.500
10 Ca 0.623 0.377 0.763
11 Ca 0.126 0.377 0.237
12 Ca 0.875 0.125 0.500
13 Ca 0.375 0.625 0.500
14 Ca 0.875 0.625 0.500
15 Mg 0.376 0.624 0.000
16 Li 0.875 0.125 0.000

2.
A geometry-optimized LiCaMg structure. Source: the Alexandria database, functional PBE-GGA.

Results
The value obtained for the total DFT energy (no corrections) is -1.917 eV/atom. The calculation puts the energy above the most stable polymorph in this dataset at 0.0 kJ/mol of atoms. The formation energy is -0.08 eV per atom. As for the spin magnetization: 0.00 μB per atom. For the density of states at the Fermi level, the calculation gives 3.196 states/eV per cell.

Lattice parameters (Å, degrees): 6.157 6.157 6.157 90.67 119.20 120.03
Fractional positions:
1 Mg 0.000 0.500 0.000
2 Mg 0.500 0.500 0.500
3 Li 0.000 0.500 0.500
4 Li 0.500 0.000 0.500
5 Ca 0.750 0.874 0.124
6 Ca 0.250 0.126 0.876

3.
A geometry-optimized LiCa16Mg12 structure. Source: the Alexandria database, functional PBE-GGA.

Results
The value obtained for the total DFT energy (no corrections) is -1.866 eV/atom. The formation energy is -0.04 eV per atom. As for the spin magnetization: 0.00 μB per atom. For the density of states at the Fermi level, the calculation gives 24.271 states/eV per cell.

Lattice parameters (Å, degrees): 10.565 10.565 10.799 109.16 109.16 108.30
Fractional positions:
1 Ca 0.690 0.001 0.404
2 Ca 0.644 0.999 0.003
3 Ca 0.664 0.417 0.009
4 Ca 0.296 0.296 0.692
5 Ca 0.595 0.291 0.599
6 Ca 0.402 0.997 0.682
7 Ca 0.711 0.321 0.313
8 Ca 0.321 0.711 0.313
9 Ca 0.998 0.998 0.667
10 Ca 0.999 0.644 0.003
11 Ca 0.001 0.690 0.404
12 Ca 0.291 0.595 0.599
13 Ca 0.353 0.353 0.320
14 Ca 0.997 0.402 0.682
15 Ca 0.998 0.998 0.004
16 Ca 0.417 0.664 0.009
17 Mg 0.643 0.643 0.829
18 Mg 0.809 0.183 0.819
19 Mg 0.166 0.351 0.987
20 Mg 0.183 0.809 0.819
21 Mg 0.999 0.187 0.354
22 Mg 0.640 0.822 0.642
23 Mg 0.991 0.366 0.172
24 Mg 0.366 0.991 0.172
25 Mg 0.351 0.166 0.987
26 Mg 0.187 0.999 0.354
27 Mg 0.822 0.640 0.642
28 Mg 0.825 0.825 0.189
29 Li 0.642 0.642 0.334

4.
A geometry-optimized LiCaMg2 structure. Source: the Alexandria database, functional PBE-GGA.

Results
The value obtained for the total DFT energy (no corrections) is -1.810 eV/atom. The calculation puts the energy above the most stable polymorph in this dataset at 2.3 kJ/mol of atoms. The formation energy is -0.03 eV per atom. As for the spin magnetization: 0.00 μB per atom. For the density of states at the Fermi level, the calculation gives 3.136 states/eV per cell.

Lattice parameters (Å, degrees): 5.275 5.275 5.277 59.94 59.94 59.98
Fractional positions:
1 Mg 0.750 0.750 0.750
2 Mg 0.000 0.000 0.000
3 Li 0.250 0.250 0.250
4 Ca 0.500 0.500 0.500

5.
A geometry-optimized LiCaMg2 structure. Source: the Alexandria database, functional PBE-GGA.

Results
The value obtained for the total DFT energy (no corrections) is -1.804 eV/atom. The calculation puts the energy above the most stable polymorph in this dataset at 2.9 kJ/mol of atoms. The formation energy is -0.03 eV per atom. As for the spin magnetization: 0.00 μB per atom. For the density of states at the Fermi level, the calculation gives 2.053 states/eV per cell.

Lattice parameters (Å, degrees): 3.590 3.589 8.065 90.00 90.00 90.00
Fractional positions:
1 Ca 0.000 0.000 0.508
2 Li 0.500 0.500 0.794
3 Mg 0.000 0.000 0.983
4 Mg 0.500 0.500 0.215

6.
A geometry-optimized LiCaMg3 structure. Source: the Alexandria database, functional PBE-GGA.

Results
The value obtained for the total DFT energy (no corrections) is -0.953 eV/atom. The calculation puts the energy above the most stable polymorph in this dataset at 76.0 kJ/mol of atoms. The formation energy is 0.79 eV per atom. As for the spin magnetization: 0.00 μB per atom. For the density of states at the Fermi level, the calculation gives 4.096 states/eV per cell.

Lattice parameters (Å, degrees): 6.073 6.073 6.073 90.00 90.00 90.00
Fractional positions:
1 Ca 0.000 0.000 0.000
2 Mg 0.500 0.000 0.000
3 Mg 0.000 0.000 0.500
4 Mg 0.000 0.500 0.000
5 Li 0.500 0.500 0.500

7.
A geometry-optimized LiCa12Mg3 structure. Source: the Alexandria database, functional PBE-GGA.

Results
The value obtained for the total DFT energy (no corrections) is -1.914 eV/atom. The formation energy is 0.01 eV per atom. As for the spin magnetization: 0.00 μB per atom. For the density of states at the Fermi level, the calculation gives 18.659 states/eV per cell.

Lattice parameters (Å, degrees): 5.332 5.332 20.610 90.00 90.00 90.00
Fractional positions:
1 Ca 0.000 0.500 0.872
2 Ca 0.500 0.000 0.624
3 Ca 0.500 0.000 0.128
4 Ca 0.500 0.500 0.500
5 Ca 0.500 0.000 0.872
6 Ca 0.000 0.500 0.128
7 Ca 0.000 0.500 0.624
8 Ca 0.500 0.500 0.748
9 Ca 0.500 0.500 0.000
10 Ca 0.500 0.000 0.376
11 Ca 0.000 0.500 0.376
12 Ca 0.500 0.500 0.252
13 Mg 0.000 0.000 0.252
14 Mg 0.000 0.000 0.748
15 Mg 0.000 0.000 0.500
16 Li 0.000 0.000 0.000

8.
A geometry-optimized LiCaMg2 structure. Source: the Alexandria database, functional PBE-GGA.

Results
The value obtained for the total DFT energy (no corrections) is -1.683 eV/atom. The calculation puts the energy above the most stable polymorph in this dataset at 14.6 kJ/mol of atoms. The formation energy is 0.09 eV per atom. As for the spin magnetization: 0.00 μB per atom. For the density of states at the Fermi level, the calculation gives 3.781 states/eV per cell.

Lattice parameters (Å, degrees): 10.722 10.722 10.722 18.53 18.53 18.53
Fractional positions:
1 Mg 0.492 0.492 0.492
2 Mg 0.008 0.008 0.008
3 Li 0.750 0.750 0.750
4 Ca 0.250 0.250 0.250